Record 1
Density functional theory data (PBE) for NaScRe2Si after structural relaxation.

a b c (Å): 4.823 4.823 5.023
angles (deg): 90.00 90.00 90.00
Element x y z (fractional)
Na 0.000 0.000 0.000
Sc 0.500 0.500 0.500
Re 0.000 0.500 0.500
Re 0.500 0.000 0.500
Si 0.500 0.500 0.000

Computed properties:
Symmetry: P4/mmm
Total moment (μB/f.u.): 3.45
E (eV per atom): -5.68

=====

Record 2
Density functional theory data (PBE) for MnVFe4Si2 after structural relaxation.

a b c (Å): 6.865 6.865 6.865
angles (deg): 33.55 33.55 33.55
Element x y z (fractional)
Mn 0.000 0.000 0.000
V 0.500 0.500 0.500
Fe 0.126 0.126 0.126
Fe 0.378 0.378 0.378
Fe 0.622 0.622 0.622
Fe 0.874 0.874 0.874
Si 0.252 0.252 0.252
Si 0.748 0.748 0.748

Computed properties:
Symmetry: R-3m
Total moment (μB/f.u.): 3.97
E (eV per atom): -8.30

=====

> Look up the E of the first one.

-5.68 eV per atom

=====

> Among the records above, which one has the lowest E?

MnVFe4Si2

=====

> Among the records above, which one has the highest E?

NaScRe2Si

=====

> The highest total moment belongs to which entry?

MnVFe4Si2